(1)
! Ce8In3Os | the Alexandria database | PBE-GGA | relaxed; values from VASP
! **Spin magnetization**: 3.25 μB per formula unit
! **VASP energy**: -5.719 eV/atom
! **Distance to the lowest polymorph of the same formula**: 0 meV/atom
! **Crystal system**: triclinic
&SYSTEM
  ibrav = 0, nat = 12, ntyp = 3
/
ATOMIC_SPECIES
Ce 140.12 Ce.upf
In 114.82 In.upf
Os 190.23 Os.upf
ATOMIC_POSITIONS crystal
Ce 0.000 0.000 0.000
Ce 0.001 0.541 0.964
Ce 0.246 0.260 0.840
Ce 0.267 0.815 0.292
Ce 0.363 0.392 0.347
Ce 0.568 0.651 0.679
Ce 0.695 0.202 0.098
Ce 0.963 0.982 0.500
In 0.600 0.138 0.664
In 0.613 0.683 0.110
In 0.971 0.500 0.525
Os 0.271 0.847 0.825
CELL_PARAMETERS angstrom
6.092 0.000 0.000
-2.021 6.616 0.000
-2.851 -1.220 7.590

***

(2)
! YRhW2 | the Alexandria database | PBE-GGA | relaxed; values from VASP
! **Spin magnetization**: 0.00 μB per formula unit
! **VASP energy**: -9.721 eV/atom
! **Distance to the lowest polymorph of the same formula**: 160 meV/atom
! **Crystal system**: tetragonal
&SYSTEM
  ibrav = 0, nat = 4, ntyp = 3
/
ATOMIC_SPECIES
Y 88.91 Y.upf
Rh 102.91 Rh.upf
W 183.84 W.upf
ATOMIC_POSITIONS crystal
Y 0.000 0.000 0.000
Rh 0.500 0.500 0.264
W 0.000 0.000 0.462
W 0.500 0.500 0.709
CELL_PARAMETERS angstrom
2.896 0.000 0.000
0.000 2.896 0.000
0.000 0.000 8.589

***

(3)
! MgCdPb2 | the Alexandria database | PBE-GGA | relaxed; values from VASP
! **Spin magnetization**: 0.00 μB per formula unit
! **VASP energy**: -2.508 eV/atom
! **Distance to the lowest polymorph of the same formula**: 0 meV/atom
! **Crystal system**: tetragonal
&SYSTEM
  ibrav = 0, nat = 4, ntyp = 3
/
ATOMIC_SPECIES
Mg 24.30 Mg.upf
Cd 112.41 Cd.upf
Pb 207.20 Pb.upf
ATOMIC_POSITIONS crystal
Mg 0.000 0.000 0.000
Cd 0.500 0.500 0.794
Pb 0.000 0.000 0.535
Pb 0.500 0.500 0.245
CELL_PARAMETERS angstrom
3.460 0.000 0.000
0.000 3.460 0.000
0.000 0.000 8.938